No. 1
# GGA-PBEsol HoMn12, relaxed
data_HoMn12
_chemical_formula_sum 'Ho1 Mn12'
_cell_length_a 4.500
_cell_length_b 6.189
_cell_length_c 6.189
_cell_angle_alpha 82.40
_cell_angle_beta 68.68
_cell_angle_gamma 68.68
_symmetry_space_group_name_H-M 'P 1'
_symmetry_Int_Tables_number 1
loop_
_symmetry_equiv_pos_as_xyz
'x,y,z'
loop_
_atom_site_label
_atom_site_type_symbol
_atom_site_fract_x
_atom_site_fract_y
_atom_site_fract_z
Mn1 Mn 0.000 0.364 0.636
Mn2 Mn 0.636 0.364 0.364
Mn3 Mn 0.000 0.000 0.500
Mn4 Mn 0.500 0.775 0.225
Mn5 Mn 0.725 0.775 0.775
Mn6 Mn 0.275 0.225 0.225
Mn7 Mn 0.500 0.500 0.000
Mn8 Mn 0.000 0.500 0.000
Mn9 Mn 0.500 0.000 0.500
Mn10 Mn 0.000 0.636 0.364
Mn11 Mn 0.500 0.225 0.775
Mn12 Mn 0.364 0.636 0.636
Ho1 Ho 0.000 0.000 0.000
# - total DFT energy (no corrections) (eV/atom) = -9.3828

No. 2
# GGA-PBEsol Ho2MnNiO6, relaxed
data_Ho2MnNiO6
_chemical_formula_sum 'Ho4 Mn2 Ni2 O12'
_cell_length_a 5.129
_cell_length_b 5.516
_cell_length_c 7.377
_cell_angle_alpha 90.00
_cell_angle_beta 90.69
_cell_angle_gamma 90.00
_symmetry_space_group_name_H-M 'P 1'
_symmetry_Int_Tables_number 1
loop_
_symmetry_equiv_pos_as_xyz
'x,y,z'
loop_
_atom_site_label
_atom_site_type_symbol
_atom_site_fract_x
_atom_site_fract_y
_atom_site_fract_z
O1 O 0.393 0.532 0.255
O2 O 0.803 0.688 0.449
O3 O 0.893 0.968 0.755
O4 O 0.607 0.468 0.745
O5 O 0.182 0.295 0.945
O6 O 0.697 0.188 0.051
O7 O 0.197 0.312 0.551
O8 O 0.303 0.812 0.949
O9 O 0.682 0.205 0.445
O10 O 0.107 0.032 0.245
O11 O 0.318 0.795 0.555
O12 O 0.818 0.705 0.055
Ho1 Ho 0.478 0.077 0.751
Ho2 Ho 0.978 0.423 0.251
Ho3 Ho 0.522 0.923 0.249
Ho4 Ho 0.022 0.577 0.749
Ni1 Ni 0.000 0.000 0.500
Ni2 Ni 0.500 0.500 0.000
Mn1 Mn 0.500 0.500 0.500
Mn2 Mn 0.000 0.000 0.000
# - formation energy from raw total energies (eV per atom) = -2.540

No. 3
# GGA-PBEsol HoMn2O5, relaxed
data_HoMn2O5
_chemical_formula_sum 'Ho4 Mn8 O20'
_cell_length_a 5.648
_cell_length_b 7.154
_cell_length_c 8.422
_cell_angle_alpha 90.00
_cell_angle_beta 90.00
_cell_angle_gamma 90.00
_symmetry_space_group_name_H-M 'P 1'
_symmetry_Int_Tables_number 1
loop_
_symmetry_equiv_pos_as_xyz
'x,y,z'
loop_
_atom_site_label
_atom_site_type_symbol
_atom_site_fract_x
_atom_site_fract_y
_atom_site_fract_z
O1 O 0.243 0.394 0.208
O2 O 0.757 0.894 0.292
O3 O 0.500 0.845 0.566
O4 O 0.500 0.345 0.934
O5 O 0.757 0.106 0.708
O6 O 0.757 0.394 0.208
O7 O 0.270 0.000 0.000
O8 O 0.000 0.166 0.444
O9 O 0.270 0.500 0.500
O10 O 0.730 0.000 0.000
O11 O 0.000 0.834 0.556
O12 O 0.500 0.155 0.434
O13 O 0.730 0.500 0.500
O14 O 0.243 0.106 0.708
O15 O 0.757 0.606 0.792
O16 O 0.500 0.655 0.066
O17 O 0.000 0.334 0.944
O18 O 0.243 0.894 0.292
O19 O 0.000 0.666 0.056
O20 O 0.243 0.606 0.792
Mn1 Mn 0.253 0.000 0.500
Mn2 Mn 0.500 0.088 0.849
Mn3 Mn 0.747 0.000 0.500
Mn4 Mn 0.747 0.500 0.000
Mn5 Mn 0.500 0.912 0.151
Mn6 Mn 0.500 0.412 0.349
Mn7 Mn 0.253 0.500 0.000
Mn8 Mn 0.500 0.588 0.651
Ho1 Ho 0.000 0.636 0.328
Ho2 Ho 0.000 0.136 0.172
Ho3 Ho 0.000 0.364 0.672
Ho4 Ho 0.000 0.864 0.828
# - formation energy from raw total energies (eV per atom) = -2.364